(1)
Entry from Alexandria: a relaxed structure of Li2Au3 (PBE).

Structure (CIF):
```
data_Li2Au3
_chemical_formula_sum 'Li4 Au6'
_cell_length_a 6.403
_cell_length_b 6.403
_cell_length_c 3.973
_cell_angle_alpha 90.00
_cell_angle_beta 90.00
_cell_angle_gamma 90.00
_space_group_name_H-M_alt 'P 4/m'
_space_group_IT_number 83
loop_
_space_group_symop_operation_xyz
'x,y,z'
'-x,-y,-z'
'-y,x,z'
'y,-x,-z'
'-x,-y,z'
'x,y,-z'
'y,-x,z'
'-y,x,-z'
loop_
_atom_site_label
_atom_site_fract_x
_atom_site_fract_y
_atom_site_fract_z
Li1 0.108 0.696 0.000
Au1 0.000 0.000 0.500
Au2 0.193 0.393 0.500
Au3 0.500 0.500 0.000
```

Computed properties:
Energy relative to the lowest polymorph listed for this composition in eV per formula unit: 0.00
Magnetization in μB/atom: 0.000
Energy relative to the elements in meV per atom: -461.2
Raw total energy in eV per cell: -31.931

(2)
Entry from Alexandria: a relaxed structure of NbGaNiRu (PBE).

Structure (CIF):
```
data_NbGaNiRu
_chemical_formula_sum 'Nb2 Ga2 Ni2 Ru2'
_cell_length_a 3.973
_cell_length_b 3.973
_cell_length_c 7.271
_cell_angle_alpha 90.00
_cell_angle_beta 90.00
_cell_angle_gamma 90.00
_space_group_name_H-M_alt 'I -4 m 2'
_space_group_IT_number 119
_space_group_name_Hall 'I -4 -2'
loop_
_atom_site_label
_atom_site_fract_x
_atom_site_fract_y
_atom_site_fract_z
Nb1 0.000 0.000 0.000
Ga1 0.000 0.000 0.500
Ni1 0.000 0.500 0.750
Ru1 0.000 0.500 0.250
```

Computed properties:
Magnetization in μB/atom: 0.000
Energy relative to the elements in meV per atom: -358.9
Raw total energy in eV per cell: -59.179

(3)
Entry from Alexandria: a relaxed structure of NaPuIn6 (PBE).

Structure (CIF):
```
data_NaPuIn6
_chemical_formula_sum 'Na2 Pu2 In12'
_cell_length_a 9.270
_cell_length_b 9.282
_cell_length_c 4.777
_cell_angle_alpha 90.00
_cell_angle_beta 90.00
_cell_angle_gamma 90.00
_space_group_name_H-M_alt 'C m m m'
_space_group_IT_number 65
_space_group_name_Hall '-C 2 2'
loop_
_atom_site_label
_atom_site_fract_x
_atom_site_fract_y
_atom_site_fract_z
Na1 0.000 0.000 0.000
Pu1 0.000 0.500 0.000
In1 0.000 0.251 0.500
In2 0.249 0.500 0.500
In3 0.250 0.250 0.000
```

Computed properties:
Magnetization in μB/atom: 0.756
Energy relative to the elements in meV per atom: -134.1
Raw total energy in eV per cell: -66.309

(4)
Entry from Alexandria: a relaxed structure of CeBeOs (PBE).

Structure (CIF):
```
data_CeBeOs
_chemical_formula_sum 'Ce4 Be4 Os4'
_cell_length_a 4.676
_cell_length_b 5.605
_cell_length_c 7.445
_cell_angle_alpha 90.00
_cell_angle_beta 90.00
_cell_angle_gamma 90.00
_space_group_name_H-M_alt 'I m m a'
_space_group_IT_number 74
_space_group_name_Hall '-I 2b 2'
loop_
_atom_site_label
_atom_site_fract_x
_atom_site_fract_y
_atom_site_fract_z
Ce1 0.000 0.250 0.132
Be1 0.250 0.250 0.750
Os1 0.000 0.000 0.500
```

Computed properties:
Energy relative to the lowest polymorph listed for this composition in eV per formula unit: 0.00
Magnetization in μB/atom: 0.000
Energy relative to the elements in meV per atom: -189.8
Raw total energy in eV per cell: -85.837

(5)
Entry from Alexandria: a relaxed structure of PuNpMnCo (PBE).

Structure (CIF):
```
data_PuNpMnCo
_chemical_formula_sum 'Pu4 Np4 Mn4 Co4'
_cell_length_a 6.052
_cell_length_b 6.052
_cell_length_c 6.052
_cell_angle_alpha 90.00
_cell_angle_beta 90.00
_cell_angle_gamma 90.00
_space_group_name_H-M_alt 'F -4 3 m'
_space_group_IT_number 216
_space_group_name_Hall 'F -4 2 3'
loop_
_atom_site_label
_atom_site_fract_x
_atom_site_fract_y
_atom_site_fract_z
Pu1 0.000 0.000 0.000
Np1 0.250 0.250 0.250
Mn1 0.000 0.000 0.500
Co1 0.250 0.250 0.750
```

Computed properties:
Magnetization in μB/atom: 0.020
Energy relative to the elements in meV per atom: 0.8
Raw total energy in eV per cell: -174.180

(6)
Entry from Alexandria: a relaxed structure of Ac3Bi2P (PBE).

Structure (CIF):
```
data_Ac3Bi2P
_chemical_formula_sum 'Ac48 Bi32 P16'
_cell_length_a 9.495
_cell_length_b 13.400
_cell_length_c 28.268
_cell_angle_alpha 90.00
_cell_angle_beta 90.00
_cell_angle_gamma 90.00
_space_group_name_H-M_alt 'F d d d'
_space_group_IT_number 70
loop_
_space_group_symop_operation_xyz
'x,y,z'
'-x,-y,-z'
'-x+1/4,-y+1/4,z'
'x+1/4,y+1/4,-z'
'x,-y+1/4,-z+1/4'
'-x,y+1/4,z+1/4'
'-x+1/4,y,-z+1/4'
'x+1/4,-y,z+1/4'
'x,y+1/2,z+1/2'
'-x,-y+1/2,-z+1/2'
'-x+1/4,-y+3/4,z+1/2'
'x+1/4,y+3/4,-z+1/2'
'x,-y+3/4,-z+3/4'
'-x,y+3/4,z+3/4'
'-x+1/4,y+1/2,-z+3/4'
'x+1/4,-y+1/2,z+3/4'
'x+1/2,y,z+1/2'
'-x+1/2,-y,-z+1/2'
'-x+3/4,-y+1/4,z+1/2'
'x+3/4,y+1/4,-z+1/2'
'x+1/2,-y+1/4,-z+3/4'
'-x+1/2,y+1/4,z+3/4'
'-x+3/4,y,-z+3/4'
'x+3/4,-y,z+3/4'
'x+1/2,y+1/2,z'
'-x+1/2,-y+1/2,-z'
'-x+3/4,-y+3/4,z'
'x+3/4,y+3/4,-z'
'x+1/2,-y+3/4,-z+1/4'
'-x+1/2,y+3/4,z+1/4'
'-x+3/4,y+1/2,-z+1/4'
'x+3/4,-y+1/2,z+1/4'
loop_
_atom_site_label
_atom_site_fract_x
_atom_site_fract_y
_atom_site_fract_z
Ac1 0.103 0.375 0.375
Ac2 0.116 0.366 0.213
Bi1 0.125 0.125 0.377
Bi2 0.125 0.125 0.545
P1 0.125 0.125 0.041
```

Computed properties:
Magnetization in μB/atom: 0.000
Energy relative to the elements in meV per atom: -1120.2
Raw total energy in eV per cell: -515.491

(7)
Entry from Alexandria: a relaxed structure of Ti2CrCuMo (PBE).

Structure (CIF):
```
data_Ti2CrCuMo
_chemical_formula_sum 'Ti2 Cr1 Cu1 Mo1'
_cell_length_a 4.303
_cell_length_b 4.303
_cell_length_c 4.462
_cell_angle_alpha 90.00
_cell_angle_beta 90.00
_cell_angle_gamma 90.00
_space_group_name_H-M_alt 'P 4/m m m'
_space_group_IT_number 123
_space_group_name_Hall '-P 4 2'
loop_
_atom_site_label
_atom_site_fract_x
_atom_site_fract_y
_atom_site_fract_z
Ti1 0.000 0.500 0.000
Cr1 0.000 0.000 0.000
Cu1 0.000 0.000 0.500
Mo1 0.500 0.500 0.500
```

Computed properties:
Magnetization in μB/atom: 0.000
Energy relative to the elements in meV per atom: 955.2
Raw total energy in eV per cell: -35.564

(8)
Entry from Alexandria: a relaxed structure of SrTcAu2 (PBE).

Structure (CIF):
```
data_SrTcAu2
_chemical_formula_sum 'Sr1 Tc1 Au2'
_cell_length_a 3.670
_cell_length_b 3.690
_cell_length_c 6.634
_cell_angle_alpha 90.00
_cell_angle_beta 90.00
_cell_angle_gamma 90.00
_space_group_name_H-M_alt 'P m m 2'
_space_group_IT_number 25
loop_
_space_group_symop_operation_xyz
'x,y,z'
'-x,-y,z'
'-x,y,z'
'x,-y,z'
loop_
_atom_site_label
_atom_site_fract_x
_atom_site_fract_y
_atom_site_fract_z
Sr1 0.000 0.000 0.000
Tc1 0.500 0.500 0.679
Au1 0.000 0.000 0.518
Au2 0.500 0.500 0.267
```

Computed properties:
Energy relative to the lowest polymorph listed for this composition in eV per formula unit: 1.08
Magnetization in μB/atom: 0.632
Energy relative to the elements in meV per atom: 306.4
Raw total energy in eV per cell: -17.377

(9)
Entry from Alexandria: a relaxed structure of PrSmHo2S6 (PBE).

Structure (CIF):
```
data_PrSmHo2S6
_chemical_formula_sum 'Pr3 Sm3 Ho6 S18'
_cell_length_a 7.0315
_cell_length_b 7.0315
_cell_length_c 18.5659
_cell_angle_alpha 90.00
_cell_angle_beta 90.00
_cell_angle_gamma 120.00
_space_group_name_H-M_alt 'R 3'
_space_group_IT_number 146
_space_group_name_Hall 'R 3'
loop_
_atom_site_label
_atom_site_fract_x
_atom_site_fract_y
_atom_site_fract_z
Pr1 0.0000 0.0000 0.0000
Sm1 0.0000 0.0000 0.4964
Ho1 0.0000 0.0000 0.2919
Ho2 0.0000 0.0000 0.7939
S1 0.0163 0.3081 0.8902
S2 0.0258 0.6409 0.0570
```

Computed properties:
Magnetization in μB/atom: 0.000
Raw total energy in eV per cell: -191.437

(10)
Entry from Alexandria: a relaxed structure of Nd2Y4Ho2Er (PBE).

Structure (CIF):
```
data_Nd2Y4Ho2Er
_chemical_formula_sum 'Nd4 Y8 Ho4 Er2'
_cell_length_a 18.727
_cell_length_b 3.610
_cell_length_c 9.589
_cell_angle_alpha 90.00
_cell_angle_beta 115.72
_cell_angle_gamma 90.00
_space_group_name_H-M_alt 'C 1 2/m 1'
_space_group_IT_number 12
loop_
_space_group_symop_operation_xyz
'x,y,z'
'-x,-y,-z'
'-x,y,-z'
'x,-y,z'
'x+1/2,y+1/2,z'
'-x+1/2,-y+1/2,-z'
'-x+1/2,y+1/2,-z'
'x+1/2,-y+1/2,z'
loop_
_atom_site_label
_atom_site_fract_x
_atom_site_fract_y
_atom_site_fract_z
Nd1 0.165 0.000 0.497
Y1 0.019 0.000 0.835
Y2 0.186 0.500 0.835
Ho1 0.148 0.500 0.164
Er1 0.000 0.500 0.500
```

Computed properties:
Magnetization in μB/atom: 0.000
Energy relative to the elements in meV per atom: -2.9
Raw total energy in eV per cell: -98.273

| no. | N(E_F) (states/eV per atom) |
| --- | --- |
| 1 | 0.24 |
| 2 | 0.44 |
| 3 | 1.58 |
| 4 | 1.05 |
| 5 | 1.34 |
| 6 | 0.15 |
| 7 | 1.06 |
| 8 | 0.93 |
| 9 | 0.00 |
| 10 | 1.40 |